(1)
A plane-wave DFT calculation with GGA+U was carried out for crystalline Li3Ni2C4O12 at its relaxed geometry.

```
Li3Ni2C4O12
1.0
-0.2213 -2.5822 -4.4049
-6.0063 1.4129 2.1963
0.5629 7.3027 -2.9132
O Li C Ni
12 3 4 2
Cartesian
-3.6908 5.8288 -4.2899
-2.2308 1.3447 -2.0672
-5.5132 1.0317 -1.7204
-4.8568 1.8799 -3.7156
-2.8710 4.1075 -3.1501
-5.4703 2.3756 0.8886
-0.8009 2.4547 -4.2523
-0.2968 5.6939 -2.0139
-2.0060 0.8124 0.0831
0.0023 4.4871 -4.7806
-2.4739 2.9229 -0.4794
-3.3218 6.3234 -0.8282
-5.2984 5.6941 -0.7454
-2.4613 6.3173 -2.6423
-0.4065 1.0042 -2.9781
-2.2524 1.7228 -0.8256
-5.3337 0.9251 -3.0013
-0.4506 3.3230 -5.1281
-3.3756 4.5866 -4.2362
0.3409 5.0208 -6.7384
-2.8325 2.1797 -3.8278
```

Computed properties:
ΔE to the lowest computed polymorph = 10 meV/atom
Space group = P1, No. 1
Crystal system = triclinic
Calculated density = 2.583 Mg/m³

***

(2)
A plane-wave DFT calculation with GGA+U was carried out for crystalline K2BeVF6 at its relaxed geometry.

```
K2BeVF6
1.0
-1.6105 4.0712 3.4748
-4.7769 -2.7306 0.9835
-1.4875 -1.2293 5.2470
F Be V K
6 1 1 2
Cartesian
-2.4069 -0.2041 3.6185
-5.4679 0.3155 6.0869
-1.7237 0.3612 1.2031
-6.1511 -0.2498 8.5022
-3.9196 -0.8890 1.6589
-3.9552 1.0003 8.0464
-3.1937 0.6703 2.2292
0.0000 0.0000 0.0000
-4.7291 -1.6450 4.2298
-3.1457 1.7563 5.4755
```

Computed properties:
Space group = Fm-3m, No. 225
Crystal system = cubic
Calculated density = 3.390 Mg/m³

***

What total DFT energy (no corrections) values result from the calculations? In sequence: -6.557 -5.288 eV per atom.